Below is Cs2YAs2O6 after structural relaxation, with properties calculated at the PBE level.

Computed properties:
The uncorrected formation energy comes out at -1.904 eV/atom. For the density of states at the Fermi level, the calculation gives 2.31 states/eV/f.u.

```
11
Lattice="5.282 -3.059 0.000 5.282 3.059 0.000 -3.280 0.000 6.799" Properties=species:S:1:pos:R:3 pbc="T T T"
Cs 1.742 0.000 1.234
Cs 5.542 0.000 5.565
Y -1.640 0.000 3.399
As 1.944 0.000 5.265
As 5.341 0.000 1.534
O 0.458 0.000 4.303
O 2.901 1.417 4.821
O 4.383 1.417 1.978
O 2.901 -1.417 4.821
O 4.383 -1.417 1.978
O 6.827 0.000 2.496
```